VASP calculation (PBE) on La2SbPb after structural relaxation.

Structure (POSCAR):
```
La2SbPb
1.0
0.000 3.992 3.992
3.992 0.000 3.992
3.992 3.992 0.000
La Sb Pb
2 1 1
direct
0.250 0.250 0.250
0.750 0.750 0.750
0.000 0.000 0.000
0.500 0.500 0.500
```

Calculated values
E_form (uncorrected) = -68.7 kJ per mole of atoms
Total moment = 0.00 μB/cell
Energy = -5.133 eV per atom